Record 1
# BeCd2Pt (PBE, optimized geometry)
data_BeCd2Pt
_chemical_formula_sum 'Be1 Cd2 Pt1'
_space_group_name_H-M_alt 'P 1'
_space_group_IT_number 1
_cell_length_a 4.529
_cell_length_b 4.529
_cell_length_c 4.529
_cell_angle_alpha 60.00
_cell_angle_beta 60.00
_cell_angle_gamma 60.00
loop_
_space_group_symop_operation_xyz
'x,y,z'
loop_
_atom_site_label
_atom_site_fract_x
_atom_site_fract_y
_atom_site_fract_z
Be1 0.500 0.500 0.500
Pt1 0.750 0.750 0.750
Cd1 0.000 0.000 0.000
Cd2 0.250 0.250 0.250
# * formation energy: 0.016 eV/atom

***

Record 2
# Mg3SbN (PBE, optimized geometry)
data_Mg3SbN
_chemical_formula_sum 'Mg12 Sb4 N4'
_space_group_name_H-M_alt 'P 1'
_space_group_IT_number 1
_cell_length_a 12.938
_cell_length_b 8.205
_cell_length_c 8.205
_cell_angle_alpha 88.56
_cell_angle_beta 128.77
_cell_angle_gamma 51.23
loop_
_space_group_symop_operation_xyz
'x,y,z'
loop_
_atom_site_label
_atom_site_fract_x
_atom_site_fract_y
_atom_site_fract_z
Sb1 0.166 0.429 0.386
Sb2 0.334 0.886 0.929
Sb3 0.834 0.571 0.614
Sb4 0.666 0.114 0.071
Mg1 0.422 0.413 0.448
Mg2 0.078 0.948 0.913
Mg3 0.578 0.587 0.552
Mg4 0.922 0.052 0.087
Mg5 0.058 0.232 0.150
Mg6 0.442 0.650 0.732
Mg7 0.942 0.768 0.850
Mg8 0.558 0.350 0.268
Mg9 0.646 0.821 0.857
Mg10 0.854 0.357 0.321
Mg11 0.354 0.179 0.143
Mg12 0.146 0.643 0.679
N1 0.750 0.179 0.679
N2 0.250 0.821 0.321
N3 0.750 0.466 0.966
N4 0.250 0.534 0.034
# * formation energy without anion corrections: -432 meV/atom

***

Record 3
# NaLiI2 (PBE, optimized geometry)
data_NaLiI2
_chemical_formula_sum 'Na1 Li1 I2'
_space_group_name_H-M_alt 'P 1'
_space_group_IT_number 1
_cell_length_a 4.341
_cell_length_b 4.341
_cell_length_c 8.240
_cell_angle_alpha 74.73
_cell_angle_beta 74.73
_cell_angle_gamma 60.00
loop_
_space_group_symop_operation_xyz
'x,y,z'
loop_
_atom_site_label
_atom_site_fract_x
_atom_site_fract_y
_atom_site_fract_z
Na1 0.667 0.667 0.999
Li1 0.499 0.499 0.502
I1 0.086 0.086 0.743
I2 0.248 0.248 0.255
# * energy above the most stable polymorph in this dataset: 0.060 eV per atom
# * formation energy without anion corrections: -1151 meV/atom

***

Record 4
# TlHg2Au (PBE, optimized geometry)
data_TlHg2Au
_chemical_formula_sum 'Tl1 Hg2 Au1'
_space_group_name_H-M_alt 'P 1'
_space_group_IT_number 1
_cell_length_a 6.561
_cell_length_b 6.561
_cell_length_c 6.561
_cell_angle_alpha 148.51
_cell_angle_beta 135.09
_cell_angle_gamma 55.88
loop_
_space_group_symop_operation_xyz
'x,y,z'
loop_
_atom_site_label
_atom_site_fract_x
_atom_site_fract_y
_atom_site_fract_z
Tl1 0.750 0.250 0.500
Au1 0.250 0.750 0.500
Hg1 0.037 0.037 0.000
Hg2 0.463 0.463 0.000
# * formation energy: 0.039 eV/atom
# * energy above the most stable polymorph in this dataset: 0.061 eV per atom

***

Record 5
# Sr4CaPt (PBE, optimized geometry)
data_Sr4CaPt
_chemical_formula_sum 'Sr4 Ca1 Pt1'
_space_group_name_H-M_alt 'P 1'
_space_group_IT_number 1
_cell_length_a 7.169
_cell_length_b 7.169
_cell_length_c 7.169
_cell_angle_alpha 60.00
_cell_angle_beta 60.00
_cell_angle_gamma 60.00
loop_
_space_group_symop_operation_xyz
'x,y,z'
loop_
_atom_site_label
_atom_site_fract_x
_atom_site_fract_y
_atom_site_fract_z
Sr1 0.877 0.374 0.374
Sr2 0.374 0.374 0.877
Sr3 0.374 0.877 0.374
Sr4 0.374 0.374 0.374
Ca1 0.750 0.750 0.750
Pt1 0.000 0.000 0.000
# * formation energy: 0.516 eV/atom

***

Record 6
# BeGa2Rh4 (PBE, optimized geometry)
data_BeGa2Rh4
_chemical_formula_sum 'Be1 Ga2 Rh4'
_space_group_name_H-M_alt 'P 1'
_space_group_IT_number 1
_cell_length_a 5.050
_cell_length_b 5.050
_cell_length_c 5.050
_cell_angle_alpha 108.48
_cell_angle_beta 109.97
_cell_angle_gamma 109.97
loop_
_space_group_symop_operation_xyz
'x,y,z'
loop_
_atom_site_label
_atom_site_fract_x
_atom_site_fract_y
_atom_site_fract_z
Be1 0.000 0.000 0.000
Rh1 0.500 0.000 0.000
Rh2 0.500 0.500 0.500
Rh3 0.000 0.000 0.500
Rh4 0.000 0.500 0.000
Ga1 0.500 0.500 0.000
Ga2 0.500 0.000 0.500
# * formation energy: -0.373 eV/atom

***

Record 7
# TlCd6F12 (PBE, optimized geometry)
data_TlCd6F12
_chemical_formula_sum 'Tl1 Cd6 F12'
_space_group_name_H-M_alt 'P 1'
_space_group_IT_number 1
_cell_length_a 7.003
_cell_length_b 7.003
_cell_length_c 7.003
_cell_angle_alpha 106.48
_cell_angle_beta 106.48
_cell_angle_gamma 106.48
loop_
_space_group_symop_operation_xyz
'x,y,z'
loop_
_atom_site_label
_atom_site_fract_x
_atom_site_fract_y
_atom_site_fract_z
Tl1 0.000 0.000 0.000
Cd1 0.654 0.249 0.249
Cd2 0.249 0.249 0.654
Cd3 0.249 0.654 0.249
Cd4 0.751 0.751 0.346
Cd5 0.346 0.751 0.751
Cd6 0.751 0.346 0.751
F1 0.873 0.127 0.500
F2 0.829 0.561 0.561
F3 0.561 0.561 0.829
F4 0.439 0.171 0.439
F5 0.439 0.439 0.171
F6 0.171 0.439 0.439
F7 0.127 0.500 0.873
F8 0.500 0.873 0.127
F9 0.127 0.873 0.500
F10 0.873 0.500 0.127
F11 0.500 0.127 0.873
F12 0.561 0.829 0.561
# * formation energy without anion corrections: -1958 meV/atom

***

Record 8
# Pr3Tl4Cd2 (PBE, optimized geometry)
data_Pr3Tl4Cd2
_chemical_formula_sum 'Pr3 Tl4 Cd2'
_space_group_name_H-M_alt 'P 1'
_space_group_IT_number 1
_cell_length_a 5.028
_cell_length_b 6.417
_cell_length_c 9.536
_cell_angle_alpha 112.09
_cell_angle_beta 90.00
_cell_angle_gamma 113.07
loop_
_space_group_symop_operation_xyz
'x,y,z'
loop_
_atom_site_label
_atom_site_fract_x
_atom_site_fract_y
_atom_site_fract_z
Pr1 0.671 0.341 0.668
Pr2 0.000 0.000 0.000
Pr3 0.329 0.659 0.332
Tl1 0.685 0.370 0.020
Tl2 0.315 0.630 0.980
Tl3 0.911 0.822 0.576
Tl4 0.089 0.178 0.424
Cd1 0.601 0.201 0.272
Cd2 0.399 0.799 0.728
# * formation energy: -0.323 eV/atom

***

Record 9
# La2SnPt (PBE, optimized geometry)
data_La2SnPt
_chemical_formula_sum 'La4 Sn2 Pt2'
_space_group_name_H-M_alt 'P 1'
_space_group_IT_number 1
_cell_length_a 6.472
_cell_length_b 6.472
_cell_length_c 9.050
_cell_angle_alpha 69.05
_cell_angle_beta 69.05
_cell_angle_gamma 90.00
loop_
_space_group_symop_operation_xyz
'x,y,z'
loop_
_atom_site_label
_atom_site_fract_x
_atom_site_fract_y
_atom_site_fract_z
Sn1 0.500 0.500 0.000
Sn2 0.250 0.750 0.500
Pt1 0.000 0.000 0.000
Pt2 0.750 0.250 0.500
La1 0.662 0.125 0.250
La2 0.088 0.625 0.250
La3 0.375 0.338 0.750
La4 0.875 0.912 0.750
# * formation energy: -0.337 eV/atom